## Ho5URu6 (GGA-PBE)

Data for a relaxed structure of Ho5URu6.

```
data_Ho5URu6
_chemical_formula_sum 'Ho5 U1 Ru6'
_symmetry_space_group_name_H-M 'P 1'
_symmetry_Int_Tables_number 1
_symmetry_space_group_name_Hall 'P 1'
_cell_length_a 8.198
_cell_length_b 8.198
_cell_length_c 8.198
_cell_angle_alpha 145.56
_cell_angle_beta 130.84
_cell_angle_gamma 61.40
loop_
_atom_site_label
_atom_site_fract_x
_atom_site_fract_y
_atom_site_fract_z
Ho1 0.000 0.000 0.000
Ho2 0.163 0.663 0.500
Ho3 0.324 0.324 0.000
Ho4 0.676 0.676 0.000
Ho5 0.837 0.337 0.500
U1 0.500 0.000 0.500
Ru1 0.117 0.846 0.271
Ru2 0.272 0.500 0.772
Ru3 0.424 0.154 0.271
Ru4 0.576 0.846 0.729
Ru5 0.728 0.500 0.228
Ru6 0.883 0.154 0.729
```

Calculated values
The calculation puts the formation enthalpy at 0 K at -0.45 eV per atom.